Entry 1:
# Tb6Sm3Tm | the Alexandria database | GGA-PBE | optimized geometry
# **Crystal system**: orthorhombic
# **Energy above the lowest structure with this stoichiometry**: 0.0000 eV/atom
# **Total DFT energy (no corrections)**: -179.74 eV per cell
# **Mass density**: 7.97 Mg/m³
data_Tb6Sm3Tm
_chemical_formula_sum 'Tb24 Sm12 Tm4'
_cell_length_a 10.947
_cell_length_b 18.974
_cell_length_c 6.316
_cell_angle_alpha 90.00
_cell_angle_beta 90.00
_cell_angle_gamma 90.00
_symmetry_space_group_name_H-M 'C m c 21'
_symmetry_Int_Tables_number 36
_symmetry_space_group_name_Hall 'C 2c -2'
loop_
_atom_site_label
_atom_site_fract_x
_atom_site_fract_y
_atom_site_fract_z
Tb1 0.000 0.041 0.000
Tb2 0.000 0.275 0.241
Tb3 0.167 0.454 0.340
Tb4 0.240 0.290 0.523
Sm1 0.000 0.388 0.817
Sm2 0.172 0.112 0.426
Tm1 0.000 0.199 0.758

Entry 2:
# Tb5Sm3Tm2 | the Alexandria database | GGA-PBE | optimized geometry
# **Crystal system**: monoclinic
# **Energy above the lowest structure with this stoichiometry**: 0.0000 eV/atom
# **Total DFT energy (no corrections)**: -177.18 eV per cell
# **Mass density**: 7.96 Mg/m³
data_Tb5Sm3Tm2
_chemical_formula_sum 'Tb20 Sm12 Tm8'
_cell_length_a 10.711
_cell_length_b 15.750
_cell_length_c 9.460
_cell_angle_alpha 90.00
_cell_angle_beta 124.10
_cell_angle_gamma 90.00
_symmetry_space_group_name_H-M 'C 1 2/c 1'
_symmetry_Int_Tables_number 15
_symmetry_space_group_name_Hall '-C 2yc'
loop_
_atom_site_label
_atom_site_fract_x
_atom_site_fract_y
_atom_site_fract_z
Tb1 0.000 0.027 0.250
Tb2 0.000 0.272 0.750
Tb3 0.000 0.469 0.750
Tb4 0.234 0.387 0.222
Sm1 0.000 0.233 0.250
Sm2 0.142 0.124 0.045
Tm1 0.155 0.382 0.547

Entry 3:
# Tb7Sm16Tm6 | the Alexandria database | GGA-PBE | optimized geometry
# **Crystal system**: cubic
# **Total DFT energy (no corrections)**: -512.75 eV per cell
# **Mass density**: 7.54 Mg/m³
data_Tb7Sm16Tm6
_chemical_formula_sum 'Tb28 Sm64 Tm24'
_cell_length_a 15.861
_cell_length_b 15.861
_cell_length_c 15.861
_cell_angle_alpha 90.00
_cell_angle_beta 90.00
_cell_angle_gamma 90.00
_symmetry_space_group_name_H-M 'F m -3 m'
_symmetry_Int_Tables_number 225
_symmetry_space_group_name_Hall '-F 4 2 3'
loop_
_atom_site_label
_atom_site_fract_x
_atom_site_fract_y
_atom_site_fract_z
Tb1 0.000 0.000 0.000
Tb2 0.000 0.250 0.250
Sm1 0.125 0.125 0.125
Sm2 0.149 0.149 0.351
Tm1 0.000 0.000 0.265